[1]
Crystalline Cd2PtPb at its relaxed geometry, computed with PBE.

The structure belongs to space group F-43m (No. 216); the cell edges are 7.0527, 7.0527 and 7.0527 Å and the angles 90.00°, 90.00° and 90.00°. The distinct sites, in fractional coordinates, are Cd at (0.0000, 0.0000, 0.0000), Cd at (0.2500, 0.2500, 0.2500), Pt at (0.0000, 0.0000, 0.5000) and Pb at (0.2500, 0.2500, 0.7500).

As for the formation energy: 39 meV per atom.

=====

[2]
Crystalline Ti4Pd5Rh2 at its relaxed geometry, computed with PBE.

The structure belongs to space group C2/m (No. 12); the cell edges are 18.6019, 2.7510 and 7.1131 Å and the angles 90.00°, 92.19° and 90.00°. The distinct sites, in fractional coordinates, are Ti at (0.1399, 0.0000, 0.0728), Ti at (0.1837, 0.0000, 0.4686), Pd at (0.0000, 0.0000, 0.0000), Pd at (0.0542, 0.0000, 0.3552), Pd at (0.0991, 0.0000, 0.7335) and Rh at (0.2487, 0.0000, 0.8062).

As for the formation energy: -217 meV per atom.

=====

[3]
Crystalline Nd8Dy2Sc at its relaxed geometry, computed with PBE.

The structure belongs to space group C2/m (No. 12); the cell edges are 16.6594, 6.8301 and 6.7060 Å and the angles 90.00°, 102.09° and 90.00°. The distinct sites, in fractional coordinates, are Nd at (0.0805, 0.2415, 0.3887), Nd at (0.0980, 0.0000, 0.9205), Nd at (0.2460, 0.5000, 0.3334), Dy at (0.1847, 0.5000, 0.8124) and Sc at (0.0000, 0.5000, 0.0000).

As for the formation energy: 172 meV per atom.

=====

[4]
Crystalline CaPmAs2 at its relaxed geometry, computed with PBE.

The structure belongs to space group R-3m (No. 166, hexagonal axes); the cell edges are 4.2230, 4.2230 and 21.1100 Å and the angles 90.00°, 90.00° and 120.00°. The distinct sites, in fractional coordinates, are Ca at (0.0000, 0.0000, 0.0000), Pm at (0.0000, 0.0000, 0.5000) and As at (0.0000, 0.0000, 0.2479).

As for the formation energy: -1178 meV per atom.

=====

[5]
Crystalline La2Pm2Sn5 at its relaxed geometry, computed with PBE.

The structure belongs to space group Cmce (No. 64); the cell edges are 16.9575, 8.2641 and 8.2356 Å and the angles 90.00°, 90.00° and 90.00°. The distinct sites, in fractional coordinates, are La at (0.1906, 0.0000, 0.0000), Pm at (0.0000, 0.1702, 0.3302), Sn at (0.0000, 0.0000, 0.0000) and Sn at (0.1317, 0.1257, 0.6253).

As for the formation energy: -652 meV per atom.

=====

[6]
Crystalline Sr3P4Au2 at its relaxed geometry, computed with PBE.

The structure belongs to space group C2/m (No. 12); the cell edges are 11.2634, 4.4514 and 8.3274 Å and the angles 90.00°, 97.38° and 90.00°. The distinct sites, in fractional coordinates, are Sr at (0.0000, 0.0000, 0.0000), Sr at (0.1645, 0.5000, 0.6706), P at (0.0583, 0.0000, 0.3920), P at (0.2250, 0.5000, 0.0377) and Au at (0.1146, 0.5000, 0.2746).

As for the formation energy: -786 meV per atom.

=====

[7]
Crystalline IrPb at its relaxed geometry, computed with PBE.

The structure belongs to space group Fd-3m (No. 227, origin choice 2); the cell edges are 6.8507, 6.8507 and 6.8507 Å and the angles 90.00°, 90.00° and 90.00°. The distinct sites, in fractional coordinates, are Ir at (0.1250, 0.1250, 0.1250) and Pb at (0.1250, 0.1250, 0.6250).

As for the formation energy: 727 meV per atom.

=====

[8]
Crystalline Co3NiSb at its relaxed geometry, computed with PBE.

The structure belongs to space group Pm-3m (No. 221); the cell edges are 4.3096, 4.3096 and 4.3096 Å and the angles 90.00°, 90.00° and 90.00°. The distinct sites, in fractional coordinates, are Co at (0.0000, 0.0000, 0.5000), Ni at (0.0000, 0.0000, 0.0000) and Sb at (0.5000, 0.5000, 0.5000).

Its uncorrected formation energy is 0.861 eV per atom.

=====

[9]
Crystalline ScTl2Os at its relaxed geometry, computed with PBE.

The structure belongs to space group Cmmm (No. 65); the cell edges are 3.2869, 5.3451 and 9.7023 Å and the angles 90.00°, 90.00° and 90.00°. The distinct sites, in fractional coordinates, are Sc at (0.0000, 0.0000, 0.0000), Tl at (0.0000, 0.5000, 0.2660) and Os at (0.0000, 0.0000, 0.5000).

As for the formation energy: 614 meV per atom.

=====

[10]
Crystalline CuPbClO2 at its relaxed geometry, computed with PBE.

The structure belongs to space group Cmcm (No. 63); the cell edges are 5.4980, 12.5768 and 5.3736 Å and the angles 90.00°, 90.00° and 90.00°. The distinct sites, in fractional coordinates, are Cu at (0.0000, 0.0098, 0.2500), Pb at (0.0000, 0.3713, 0.2500), Cl at (0.0000, 0.2500, 0.7500) and O at (0.2299, 0.0000, 0.0000).

Its uncorrected formation energy is -0.861 eV per atom.

=====

[11]
Crystalline TiNi4W at its relaxed geometry, computed with PBE.

The structure belongs to space group F-43m (No. 216); the cell edges are 6.6813, 6.6813 and 6.6813 Å and the angles 90.00°, 90.00° and 90.00°. The distinct sites, in fractional coordinates, are Ti at (0.0000, 0.0000, 0.0000), Ni at (0.1247, 0.1247, 0.6247) and W at (0.2500, 0.2500, 0.2500).

As for the formation energy: -133 meV per atom.

=====

[12]
Crystalline RbNpRuO6 at its relaxed geometry, computed with PBE.

The structure belongs to space group P312 (No. 149); the cell edges are 5.4110, 5.4110 and 6.4012 Å and the angles 90.00°, 90.00° and 120.00°. The distinct sites, in fractional coordinates, are Rb at (0.0000, 0.0000, 0.0000), Np at (0.6667, 0.3333, 0.5000), Ru at (0.3333, 0.6667, 0.5000) and O at (0.0080, 0.3779, 0.6711).

Its uncorrected formation energy is -1.897 eV per atom.